VASP calculation (GGA-PBE) on Ac4Sb2PBr after structural relaxation.

It has space group P2/m (No. 10), with a = 7.929 Å, b = 4.661 Å, c = 8.115 Å, α = 90.00°, β = 109.64° and γ = 90.00°. The distinct sites, in fractional coordinates, are Ac at (0.235, 0.000, 0.230), Ac at (0.245, 0.500, 0.766), Sb at (0.500, 0.000, 0.000), Sb at (0.500, 0.500, 0.500), P at (0.000, 0.500, 0.000) and Br at (0.000, 0.000, 0.500).

Its uncorrected formation energy is -1.309 eV/atom.

***

VASP calculation (GGA-PBE) on TiNb after structural relaxation.

It has space group C2/m (No. 12), with a = 5.433 Å, b = 2.838 Å, c = 9.546 Å, α = 90.00°, β = 103.03° and γ = 90.00°. The distinct sites, in fractional coordinates, are Ti at (0.200, 0.000, 0.122) and Nb at (0.057, 0.000, 0.372).

As for the formation enthalpy at 0 K: 0.0842 eV/atom.

***

VASP calculation (GGA-PBE) on MoRuW2 after structural relaxation.

It has space group Fm-3m (No. 225), with a = 6.294 Å, b = 6.294 Å, c = 6.294 Å, α = 90.00°, β = 90.00° and γ = 90.00°. The distinct sites, in fractional coordinates, are Mo at (0.000, 0.000, 0.000), Ru at (0.000, 0.000, 0.500) and W at (0.250, 0.250, 0.250).

The value obtained for the distance to the lowest polymorph of the same formula is 0.050 eV/atom. As for the formation enthalpy at 0 K: 0.1627 eV/atom.

***

VASP calculation (GGA-PBE) on Y2FeHg after structural relaxation.

It has space group Imm2 (No. 44), with a = 3.461 Å, b = 4.938 Å, c = 10.956 Å, α = 90.00°, β = 90.00° and γ = 90.00°. The distinct sites, in fractional coordinates, are Y at (0.000, 0.000, 0.000), Y at (0.000, 0.500, 0.205), Fe at (0.000, 0.500, 0.729) and Hg at (0.000, 0.000, 0.424).

As for the formation enthalpy at 0 K: -0.0185 eV/atom.

***

Number 4 is which compound? Y2FeHg